1.
# K2BeSi, relaxed, DFT GGA-PBE
# raw formation energy	0.86	eV per atom
# energy relative to the lowest polymorph listed for this composition	0.698	eV/atom
data_K2BeSi
_space_group_name_H-M_alt 'C m m m'
_space_group_IT_number 65
_space_group_name_Hall '-C 2 2'
_cell_length_a 5.641
_cell_length_b 10.197
_cell_length_c 3.859
_cell_angle_alpha 90.00
_cell_angle_beta 90.00
_cell_angle_gamma 90.00
loop_
_atom_site_label
_atom_site_type_symbol
_atom_site_fract_x
_atom_site_fract_y
_atom_site_fract_z
K1 K 0.250 0.250 0.000
Be1 Be 0.000 0.000 0.500
Si1 Si 0.000 0.500 0.500

---

2.
# VSiGeTe2, relaxed, DFT GGA-PBE
# raw formation energy	0.60	eV per atom
data_VSiGeTe2
_space_group_name_H-M_alt 'P 4/m m m'
_space_group_IT_number 123
_space_group_name_Hall '-P 4 2'
_cell_length_a 5.231
_cell_length_b 5.231
_cell_length_c 4.723
_cell_angle_alpha 90.00
_cell_angle_beta 90.00
_cell_angle_gamma 90.00
loop_
_atom_site_label
_atom_site_type_symbol
_atom_site_fract_x
_atom_site_fract_y
_atom_site_fract_z
V1 V 0.000 0.000 0.000
Si1 Si 0.500 0.500 0.500
Ge1 Ge 0.000 0.000 0.500
Te1 Te 0.000 0.500 0.000

---

3.
VASP calculation (GGA-PBE) on an optimized crystal structure of PrPuGaPd.

The structure in CIF format:
```
data_PrPuGaPd
_space_group_name_H-M_alt 'F -4 3 m'
_space_group_IT_number 216
_space_group_name_Hall 'F -4 2 3'
_cell_length_a 7.274
_cell_length_b 7.274
_cell_length_c 7.274
_cell_angle_alpha 90.00
_cell_angle_beta 90.00
_cell_angle_gamma 90.00
loop_
_atom_site_label
_atom_site_type_symbol
_atom_site_fract_x
_atom_site_fract_y
_atom_site_fract_z
Pr1 Pr 0.000 0.000 0.000
Pu1 Pu 0.000 0.000 0.500
Ga1 Ga 0.250 0.250 0.250
Pd1 Pd 0.250 0.250 0.750
```

---

4.
# CaPrTlRh, relaxed, DFT GGA-PBE
# energy relative to the lowest polymorph listed for this composition	0.091	eV/atom
data_CaPrTlRh
_space_group_name_H-M_alt 'F -4 3 m'
_space_group_IT_number 216
_space_group_name_Hall 'F -4 2 3'
_cell_length_a 7.401
_cell_length_b 7.401
_cell_length_c 7.401
_cell_angle_alpha 90.00
_cell_angle_beta 90.00
_cell_angle_gamma 90.00
loop_
_atom_site_label
_atom_site_type_symbol
_atom_site_fract_x
_atom_site_fract_y
_atom_site_fract_z
Ca1 Ca 0.000 0.000 0.000
Pr1 Pr 0.000 0.000 0.500
Tl1 Tl 0.250 0.250 0.750
Rh1 Rh 0.250 0.250 0.250

---

no.,E (eV per atom),theoretical density (g/cm³)
1,-1.973,1.72
2,-4.492,5.23
3,-7.225,9.68
4,-4.485,8.00